DFT (GGA-PBE) results for crystalline KZn2OsBr at its relaxed geometry.

Cell lengths 4.925, 5.291, 4.925 Å; angles 90.00, 90.00, 90.00 degrees
Site moments in Bohr magnetons follow the coordinates.
Positions (direct):
K (0.500, 0.500, 0.500)  0.00
Br (0.000, 0.500, 0.000)  0.04
Os (0.000, 0.000, 0.000)  0.49
Zn (0.000, 0.000, 0.500)  0.00
Zn (0.500, 0.000, 0.000)  -0.01

Output
DOS at the Fermi energy = 3.5 states/eV per cell
Space-group type = P4/mmm
Formation energy (no corrections) = 207 meV/atom